## one
PrHgB4 (GGA-PBE, optimized geometry); total moment = 0.00 μB per formula unit
1.0
3.2318 0.0000 0.0000
-1.6159 2.7988 0.0000
0.0000 0.0000 8.2755
Pr Hg B
1 1 4
direct
0.0000 0.0000 0.0000 Pr
0.0000 0.0000 0.5000 Hg
0.3333 0.6667 0.2541 B
0.3333 0.6667 0.7459 B
0.6667 0.3333 0.2541 B
0.6667 0.3333 0.7459 B



## two
PrHgB4 (GGA-PBE, optimized geometry); total moment = 0.00 μB per formula unit
1.0
-1.6157 2.7108 4.4021
1.6157 -2.7108 4.4021
1.6157 2.7108 -4.4021
Pr Hg B
1 1 4
direct
0.0000 0.0000 0.0000 Pr
0.5000 0.5000 0.0000 Hg
0.0542 0.7373 0.3168 B
0.4205 0.7373 0.6832 B
0.5795 0.2627 0.3168 B
0.9458 0.2627 0.6832 B



Unit: eV/atom. Relative energies: one 0.232; two 0.000.



## one
VASP calculation (GGA-PBE) on an optimized crystal structure of RbHgB.

Structure (POSCAR):
```
RbHgB
1.0
0.0000 3.5376 3.5376
3.5376 0.0000 3.5376
3.5376 3.5376 0.0000
Rb Hg B
1 1 1
direct
0.0000 0.0000 0.0000 Rb
0.5000 0.5000 0.5000 Hg
0.7500 0.7500 0.7500 B
```



## two
VASP calculation (GGA-PBE) on an optimized crystal structure of RbHgB.

Structure (POSCAR):
```
RbHgB
1.0
0.0000 3.7003 3.7003
3.7003 0.0000 3.7003
3.7003 3.7003 0.0000
Rb Hg B
1 1 1
direct
0.0000 0.0000 0.0000 Rb
0.7500 0.7500 0.7500 Hg
0.5000 0.5000 0.5000 B
```



Unit: eV/atom. Relative energies: one 0.000; two 0.164.



## one
ReHgB (GGA-PBE, optimized geometry); total moment = 1.29 μB per formula unit
1.0
0.0000 2.9590 2.9590
2.9590 0.0000 2.9590
2.9590 2.9590 0.0000
Re Hg B
1 1 1
direct
0.0000 0.0000 0.0000 Re
0.2500 0.2500 0.2500 Hg
0.7500 0.7500 0.7500 B



## two
ReHgB (GGA-PBE, optimized geometry); total moment = 0.00 μB per formula unit
1.0
0.0000 2.7861 2.7861
2.7861 0.0000 2.7861
2.7861 2.7861 0.0000
Re Hg B
1 1 1
direct
0.0000 0.0000 0.0000 Re
0.5000 0.5000 0.5000 Hg
0.7500 0.7500 0.7500 B



Unit: eV/atom. Relative energies: one 0.702; two 0.000.



## one
SmHgB4 (GGA-PBE, optimized geometry); total moment = 0.00 μB per formula unit
1.0
-1.6110 2.6803 4.2913
1.6110 -2.6803 4.2913
1.6110 2.6803 -4.2913
Sm Hg B
1 1 4
direct
0.0000 0.0000 0.0000 Sm
0.5000 0.5000 0.0000 Hg
0.0525 0.7352 0.3173 B
0.4179 0.7352 0.6827 B
0.5821 0.2648 0.3173 B
0.9475 0.2648 0.6827 B



## two
SmHgB4 (GGA-PBE, optimized geometry); total moment = 0.02 μB per formula unit
1.0
3.2271 0.0000 0.0000
-1.6136 2.7948 0.0000
0.0000 0.0000 8.0902
Sm Hg B
1 1 4
direct
0.0000 0.0000 0.0000 Sm
0.0000 0.0000 0.5000 Hg
0.3333 0.6667 0.2474 B
0.3333 0.6667 0.7526 B
0.6667 0.3333 0.2474 B
0.6667 0.3333 0.7526 B



Unit: eV/atom. Relative energies: one 0.000; two 0.232.